Li7Cr5O12: relaxed, PBE+U.

It has space group C2/m (No. 12), with a = 5.084 Å, b = 8.856 Å, c = 9.834 Å, α = 90.00°, β = 100.47° and γ = 90.00°. The asymmetric unit holds Li at (0.000, 0.000, 0.000), Li at (0.244, 0.165, 0.248), Li at (0.249, 0.000, 0.752), Cr at (0.000, 0.167, 0.500), Cr at (0.000, 0.335, 0.000), Cr at (0.000, 0.500, 0.500), O at (0.105, 0.500, 0.889), O at (0.126, 0.000, 0.385), O at (0.126, 0.333, 0.387) and O at (0.150, 0.180, 0.888).

The total moment is 26.00 μB per cell. The energy is -315.7 eV for the cell shown.